{"formula": "BiPdI", "functional": "GGA-PBE", "state": "relaxed", "raw_formation_energy_ev_per_fu": -0.60, "dft_energy_ev_per_atom": -3.7429, "lattice": [[-4.5986, -1.3613, -0.0145], [2.1777, -4.2405, 0.6630], [0.6891, 3.0524, 7.9275]], "species": ["Bi", "Bi", "Pd", "Pd", "I", "I"], "frac_coords": [[0.6787, 0.6682, 0.1725], [0.3213, 0.3318, 0.8275], [0.8071, 0.1912, 0.9993], [0.1929, 0.8088, 0.0007], [0.7767, 0.7918, 0.6924], [0.2233, 0.2082, 0.3076]]}